# 1
An optimized crystal structure of Pm5Tl4Ru. Source: Alexandria, functional GGA-PBE.

The density of states at the Fermi level is 8.842 states/eV/cell. Its formation energy from the elements is -333 kJ/mol of formula units. The uncorrected energy comes out at -46.0 eV per cell. For the total magnetization, the calculation gives 0.0 μB per formula unit.

The space group is P4/mmm (No. 123) and the conventional cell measures 3.557, 3.557 and 21.800 Å, with angles of 90.00, 90.00 and 90.00 degrees. The inequivalent atoms are Pm at (0.000, 0.000, 0.000), Pm at (0.000, 0.000, 0.206), Pm at (0.000, 0.000, 0.422), Tl at (0.500, 0.500, 0.103), Tl at (0.500, 0.500, 0.310) and Ru at (0.500, 0.500, 0.500).



# 2
An optimized crystal structure of KCrSb3. Source: Alexandria, functional GGA-PBE.

The value obtained for the energy above the most stable polymorph in this dataset is 1445 meV per atom. The density of states at the Fermi level is 6.963 states/eV/cell. The value obtained for the formation energy from raw total energies is 1572 meV/atom. The uncorrected energy comes out at -15.2 eV per cell. For the total magnetization, the calculation gives 3.9 μB per formula unit.

The space group is Pm-3m (No. 221) and the conventional cell measures 5.793, 5.793 and 5.793 Å, with angles of 90.00, 90.00 and 90.00 degrees. The inequivalent atoms are K at (0.000, 0.000, 0.000), Cr at (0.500, 0.500, 0.500) and Sb at (0.000, 0.000, 0.500).



# 3
An optimized crystal structure of SrHgTe. Source: Alexandria, functional GGA-PBE.

The value obtained for the energy above the most stable polymorph in this dataset is 44 meV per atom. The value obtained for the formation energy from raw total energies is -913 meV/atom. The uncorrected energy comes out at -15.7 eV per cell. For the total magnetization, the calculation gives 0.0 μB per formula unit.

The space group is I4mm (No. 107) and the conventional cell measures 4.438, 4.438 and 10.129 Å, with angles of 90.00, 90.00 and 90.00 degrees. The inequivalent atoms are Sr at (0.000, 0.000, 0.000), Hg at (0.000, 0.000, 0.680) and Te at (0.000, 0.000, 0.351).



Question: What is the formula in the third record?
Answer: SrHgTe



Please write out number 3 again, unchanged.
An optimized crystal structure of SrHgTe. Source: Alexandria, functional GGA-PBE.

The value obtained for the energy above the most stable polymorph in this dataset is 44 meV per atom. The value obtained for the formation energy from raw total energies is -913 meV/atom. The uncorrected energy comes out at -15.7 eV per cell. For the total magnetization, the calculation gives 0.0 μB per formula unit.

The space group is I4mm (No. 107) and the conventional cell measures 4.438, 4.438 and 10.129 Å, with angles of 90.00, 90.00 and 90.00 degrees. The inequivalent atoms are Sr at (0.000, 0.000, 0.000), Hg at (0.000, 0.000, 0.680) and Te at (0.000, 0.000, 0.351).



Question: Among the records above, which one has the highest uncorrected energy?
Answer: KCrSb3